Record 1
# PrSm4Pt2

A relaxed PrSm4Pt2 crystal (GGA-PBE, the Alexandria database).

abc: 6.679 7.878 8.215
angles: 112.72 90.00 90.00
Positions (direct):
Pr (0.750, 0.147, 0.022)
Pt (0.250, 0.256, 0.993)
Sm (0.750, 0.015, 0.385)
Pr (0.250, 0.853, 0.978)
Sm (0.492, 0.593, 0.235)
Sm (0.008, 0.593, 0.235)
Pt (0.750, 0.744, 0.007)
Sm (0.750, 0.748, 0.651)
Sm (0.992, 0.407, 0.765)
Pt (0.750, 0.376, 0.406)
Sm (0.250, 0.985, 0.615)
Sm (0.250, 0.252, 0.349)
Sm (0.508, 0.407, 0.765)
Pt (0.250, 0.624, 0.594)

## Properties
The space-group type is P2_1/m, No. 11. The calculated density comes out at 9.43 Mg/m³. The formation energy is -617 meV/atom.

***

Record 2
# PrSm2Pt

A relaxed PrSm2Pt crystal (GGA-PBE, the Alexandria database).

abc: 6.669 7.241 9.916
angles: 90.00 90.00 90.00
Positions (direct):
Pr (0.863, 0.025, 0.250)
Sm (0.672, 0.822, 0.938)
Sm (0.828, 0.322, 0.938)
Sm (0.172, 0.678, 0.438)
Pr (0.137, 0.975, 0.750)
Pt (0.930, 0.615, 0.750)
Pt (0.430, 0.885, 0.250)
Sm (0.672, 0.822, 0.562)
Pt (0.570, 0.115, 0.750)
Sm (0.172, 0.678, 0.062)
Sm (0.328, 0.178, 0.438)
Pr (0.363, 0.475, 0.750)
Pt (0.070, 0.385, 0.250)
Sm (0.828, 0.322, 0.562)
Sm (0.328, 0.178, 0.062)
Pr (0.637, 0.525, 0.250)

## Properties
The space-group type is Pnma, No. 62. The calculated density comes out at 8.83 Mg/m³. The distance to the lowest polymorph of the same formula comes out at 0.0 meV per atom. The formation energy is -639 meV/atom.

***

Record 3
# PrSmPt

A relaxed PrSmPt crystal (GGA-PBE, the Alexandria database).

abc: 7.132 7.327 13.486
angles: 90.00 90.00 90.00
Positions (direct):
Pt (0.231, 0.456, 0.899)
Pr (0.211, 0.102, 0.302)
Pt (0.731, 0.044, 0.899)
Sm (0.503, 0.742, 0.967)
Pt (0.769, 0.544, 0.101)
Pt (0.269, 0.956, 0.101)
Pr (0.711, 0.398, 0.302)
Sm (0.497, 0.758, 0.467)
Pt (0.731, 0.544, 0.601)
Sm (0.497, 0.258, 0.033)
Pt (0.231, 0.956, 0.601)
Sm (0.503, 0.242, 0.533)
Sm (0.003, 0.758, 0.967)
Pr (0.789, 0.398, 0.802)
Pr (0.211, 0.602, 0.198)
Sm (0.997, 0.742, 0.467)
Sm (0.997, 0.242, 0.033)
Sm (0.003, 0.258, 0.533)
Pt (0.769, 0.044, 0.399)
Pr (0.711, 0.898, 0.198)
Pr (0.289, 0.102, 0.802)
Pr (0.289, 0.602, 0.698)
Pr (0.789, 0.898, 0.698)
Pt (0.269, 0.456, 0.399)

## Properties
The space-group type is Pbca, No. 61. The calculated density comes out at 9.17 Mg/m³. The distance to the lowest polymorph of the same formula comes out at 0.0 meV per atom. The formation energy is -817 meV/atom.

***

Record 4
# PrSmPt2

A relaxed PrSmPt2 crystal (GGA-PBE, the Alexandria database).

abc: 3.920 4.560 5.777
angles: 90.00 109.82 90.00
Positions (direct):
Pr (0.445, 0.500, 0.429)
Pt (0.996, 0.000, 0.531)
Sm (0.719, 0.000, 0.977)
Pt (0.171, 0.500, 0.881)

## Properties
The space-group type is Amm2, No. 38. The calculated density comes out at 11.65 Mg/m³. The distance to the lowest polymorph of the same formula comes out at 0.0 meV per atom. The formation energy is -1156 meV/atom.

***

Record 5
# Pr3SmPt

A relaxed Pr3SmPt crystal (GGA-PBE, the Alexandria database).

abc: 5.278 6.665 9.045
angles: 83.44 90.00 90.00
Positions (direct):
Pr (0.476, 0.851, 0.933)
Pr (0.476, 0.285, 0.160)
Sm (0.476, 0.414, 0.699)
Pr (0.976, 0.457, 0.393)
Pt (0.976, 0.650, 0.657)
Pr (0.476, 0.896, 0.509)
Sm (0.976, 0.939, 0.203)
Pt (0.476, 0.703, 0.245)
Pr (0.976, 0.067, 0.741)
Pr (0.976, 0.502, 0.969)

## Properties
The space-group type is P2_1/m, No. 11. The calculated density comes out at 8.07 Mg/m³. The distance to the lowest polymorph of the same formula comes out at 73.1 meV per atom. The formation energy is -397 meV/atom.

***

Record 6
# PrSm2Pt9

A relaxed PrSm2Pt9 crystal (GGA-PBE, the Alexandria database).

abc: 5.466 5.466 9.441
angles: 73.17 73.17 60.00
Positions (direct):
Sm (0.140, 0.140, 0.581)
Pt (0.587, 0.587, 0.745)
Pt (0.667, 0.667, 0.999)
Pt (0.919, 0.413, 0.255)
Pt (0.333, 0.333, 0.001)
Pr (0.000, 0.000, 0.000)
Sm (0.860, 0.860, 0.419)
Pt (0.587, 0.081, 0.745)
Pt (0.500, 0.500, 0.500)
Pt (0.413, 0.413, 0.255)
Pt (0.413, 0.919, 0.255)
Pt (0.081, 0.587, 0.745)

## Properties
The space-group type is R-3m, No. 166. The calculated density comes out at 15.85 Mg/m³. The formation energy is -935 meV/atom.

***

Record 7
# Pr3Sm3Pt2

A relaxed Pr3Sm3Pt2 crystal (GGA-PBE, the Alexandria database).

abc: 4.054 6.895 18.050
angles: 90.00 90.00 107.10
Positions (direct):
Sm (0.344, 0.687, 0.956)
Pr (0.665, 0.330, 0.250)
Sm (0.344, 0.687, 0.544)
Pr (0.951, 0.902, 0.396)
Pt (0.740, 0.480, 0.624)
Pr (0.951, 0.902, 0.104)
Pr (0.335, 0.670, 0.750)
Sm (0.607, 0.215, 0.750)
Sm (0.656, 0.313, 0.044)
Sm (0.393, 0.785, 0.250)
Pr (0.049, 0.098, 0.604)
Pt (0.740, 0.480, 0.876)
Pt (0.260, 0.520, 0.376)
Sm (0.656, 0.313, 0.456)
Pr (0.049, 0.098, 0.896)
Pt (0.260, 0.520, 0.124)

## Properties
The space-group type is Cmcm, No. 63. The calculated density comes out at 8.70 Mg/m³. The formation energy is -530 meV/atom.

***

Record 8
# PrSm4Pt4

A relaxed PrSm4Pt4 crystal (GGA-PBE, the Alexandria database).

abc: 5.833 9.346 9.346
angles: 90.00 90.00 90.00
Positions (direct):
Pt (0.499, 0.394, 0.203)
Pr (0.000, 0.000, 0.000)
Pt (0.501, 0.797, 0.394)
Sm (0.499, 0.316, 0.897)
Pt (0.499, 0.606, 0.797)
Sm (0.001, 0.816, 0.397)
Pt (0.001, 0.894, 0.703)
Sm (0.001, 0.184, 0.603)
Sm (0.999, 0.603, 0.816)
Pr (0.500, 0.500, 0.500)
Pt (0.999, 0.297, 0.894)
Pt (0.001, 0.106, 0.297)
Pt (0.999, 0.703, 0.106)
Sm (0.501, 0.103, 0.316)
Sm (0.499, 0.684, 0.103)
Sm (0.501, 0.897, 0.684)
Pt (0.501, 0.203, 0.606)
Sm (0.999, 0.397, 0.184)

## Properties
The space-group type is I4/m, No. 87. The calculated density comes out at 9.93 Mg/m³. The formation energy is -981 meV/atom.

***

Record 9
# PrSm2Pt

A relaxed PrSm2Pt crystal (GGA-PBE, the Alexandria database).

abc: 3.916 6.478 9.770
angles: 90.00 90.00 107.59
Positions (direct):
Sm (0.862, 0.724, 0.564)
Pt (0.268, 0.535, 0.750)
Pr (0.427, 0.855, 0.250)
Sm (0.862, 0.724, 0.936)
Pt (0.732, 0.465, 0.250)
Sm (0.138, 0.276, 0.064)
Pr (0.573, 0.145, 0.750)
Sm (0.138, 0.276, 0.436)

## Properties
The space-group type is Cmcm, No. 63. The calculated density comes out at 8.95 Mg/m³. The distance to the lowest polymorph of the same formula comes out at 30.3 meV per atom. The formation energy is -608 meV/atom.

***

Record 10
# PrSmPt2

A relaxed PrSmPt2 crystal (GGA-PBE, the Alexandria database).

abc: 3.598 3.598 7.220
angles: 90.00 90.00 90.00
Positions (direct):
Sm (0.500, 0.500, 0.000)
Pr (0.500, 0.500, 0.500)
Pt (0.000, 0.000, 0.761)
Pt (0.000, 0.000, 0.239)

## Properties
The space-group type is P4/mmm, No. 123. The calculated density comes out at 12.11 Mg/m³. The distance to the lowest polymorph of the same formula comes out at 101.6 meV per atom. The formation energy is -1055 meV/atom.

***

Record 11
# Pr2Sm3Pt4

A relaxed Pr2Sm3Pt4 crystal (GGA-PBE, the Alexandria database).

abc: 8.058 7.719 7.759
angles: 90.00 90.00 108.61
Positions (direct):
Sm (0.750, 0.242, 0.835)
Pr (0.909, 0.799, 0.822)
Pt (0.130, 0.907, 0.466)
Pr (0.591, 0.201, 0.322)
Sm (0.250, 0.242, 0.665)
Pr (0.409, 0.799, 0.678)
Sm (0.000, 0.500, 0.500)
Pt (0.126, 0.503, 0.868)
Pt (0.630, 0.907, 0.034)
Pr (0.091, 0.201, 0.178)
Sm (0.500, 0.500, 0.000)
Pt (0.374, 0.497, 0.368)
Pt (0.626, 0.503, 0.632)
Pt (0.870, 0.093, 0.534)
Sm (0.250, 0.758, 0.165)
Pt (0.370, 0.093, 0.966)
Sm (0.750, 0.758, 0.335)
Pt (0.874, 0.497, 0.132)

## Properties
The space-group type is P2_1/c, No. 14. The calculated density comes out at 10.99 Mg/m³. The formation energy is -1061 meV/atom.

***

Record 12
# PrSm2Pt

A relaxed PrSm2Pt crystal (GGA-PBE, the Alexandria database).

abc: 3.925 3.925 9.903
angles: 78.57 78.57 60.00
Positions (direct):
Pr (0.500, 0.500, 0.500)
Pt (0.000, 0.000, 0.000)
Sm (0.727, 0.727, 0.818)
Sm (0.273, 0.273, 0.182)

## Properties
The space-group type is R-3m, No. 166. The calculated density comes out at 8.22 Mg/m³. The distance to the lowest polymorph of the same formula comes out at 162.8 meV per atom. The formation energy is -476 meV/atom.

***

Record 13
# Pr2SmPt9

A relaxed Pr2SmPt9 crystal (GGA-PBE, the Alexandria database).

abc: 5.472 5.472 9.503
angles: 73.27 73.27 60.00
Positions (direct):
Sm (0.000, 0.000, 0.000)
Pt (0.667, 0.667, 0.999)
Pt (0.586, 0.081, 0.748)
Pt (0.333, 0.333, 0.001)
Pr (0.139, 0.139, 0.583)
Pt (0.500, 0.500, 0.500)
Pt (0.081, 0.586, 0.748)
Pt (0.414, 0.414, 0.252)
Pr (0.861, 0.861, 0.417)
Pt (0.586, 0.586, 0.748)
Pt (0.919, 0.414, 0.252)
Pt (0.414, 0.919, 0.252)

## Properties
The space-group type is R-3m, No. 166. The calculated density comes out at 15.63 Mg/m³. The formation energy is -903 meV/atom.

***

Record 14
# PrSmPt2

A relaxed PrSmPt2 crystal (GGA-PBE, the Alexandria database).

abc: 4.130 4.130 7.512
angles: 74.05 74.05 60.00
Positions (direct):
Pt (0.082, 0.082, 0.754)
Sm (0.670, 0.670, 0.991)
Pr (0.497, 0.497, 0.508)
Pt (0.251, 0.251, 0.247)

## Properties
The space-group type is R3m, No. 160. The calculated density comes out at 10.75 Mg/m³. The distance to the lowest polymorph of the same formula comes out at 164.1 meV per atom. The formation energy is -992 meV/atom.

***

Record 15
# PrSmPt

A relaxed PrSmPt crystal (GGA-PBE, the Alexandria database).

abc: 5.019 5.019 5.019
angles: 60.00 60.00 60.00
Positions (direct):
Pt (0.250, 0.250, 0.250)
Pr (0.000, 0.000, 0.000)
Sm (0.500, 0.500, 0.500)

## Properties
The space-group type is F-43m, No. 216. The calculated density comes out at 9.03 Mg/m³. The distance to the lowest polymorph of the same formula comes out at 102.7 meV per atom. The formation energy is -714 meV/atom.

***

Record 16
# PrSm2Pt

A relaxed PrSm2Pt crystal (GGA-PBE, the Alexandria database).

abc: 3.633 3.633 8.909
angles: 90.00 90.00 90.00
Positions (direct):
Pr (0.500, 0.500, 0.500)
Pt (0.500, 0.500, 0.000)
Sm (0.000, 0.000, 0.812)
Sm (0.000, 0.000, 0.188)

## Properties
The space-group type is P4/mmm, No. 123. The calculated density comes out at 8.99 Mg/m³. The distance to the lowest polymorph of the same formula comes out at 106.4 meV per atom. The formation energy is -532 meV/atom.

***

Record 17
# Pr2SmPt2

A relaxed Pr2SmPt2 crystal (GGA-PBE, the Alexandria database).

abc: 4.113 7.980 7.980
angles: 90.00 90.00 90.00
Positions (direct):
Pt (0.000, 0.865, 0.635)
Sm (0.000, 0.000, 0.000)
Pr (0.500, 0.664, 0.836)
Pr (0.500, 0.164, 0.664)
Pt (0.000, 0.365, 0.865)
Pt (0.000, 0.635, 0.135)
Pr (0.500, 0.336, 0.164)
Sm (0.000, 0.500, 0.500)
Pt (0.000, 0.135, 0.365)
Pr (0.500, 0.836, 0.336)

## Properties
The space-group type is P4/mbm, No. 127. The calculated density comes out at 10.43 Mg/m³. The formation energy is -920 meV/atom.

***

Record 18
# PrSmPt2

A relaxed PrSmPt2 crystal (GGA-PBE, the Alexandria database).

abc: 5.097 5.097 5.097
angles: 60.00 60.00 60.00
Positions (direct):
Sm (0.500, 0.500, 0.500)
Pt (0.250, 0.250, 0.250)
Pt (0.750, 0.750, 0.750)
Pr (0.000, 0.000, 0.000)

## Properties
The space-group type is Fm-3m, No. 225. The calculated density comes out at 12.09 Mg/m³. The distance to the lowest polymorph of the same formula comes out at 108.0 meV per atom. The formation energy is -1048 meV/atom.

***

Record 19
# Pr5SmPt4

A relaxed Pr5SmPt4 crystal (GGA-PBE, the Alexandria database).

abc: 4.243 8.237 9.405
angles: 105.72 103.04 90.00
Positions (direct):
Pt (0.670, 0.109, 0.341)
Pr (0.166, 0.859, 0.333)
Pr (0.834, 0.141, 0.667)
Pr (0.165, 0.346, 0.331)
Pt (0.999, 0.746, 0.997)
Pr (0.500, 0.500, 0.000)
Sm (0.500, 0.000, 0.000)
Pt (0.330, 0.891, 0.659)
Pt (0.001, 0.254, 0.003)
Pr (0.835, 0.654, 0.669)

## Properties
The space-group type is C2/m, No. 12. The calculated density comes out at 8.83 Mg/m³. The formation energy is -842 meV/atom.

***

Record 20
# PrSmPt

A relaxed PrSmPt crystal (GGA-PBE, the Alexandria database).

abc: 3.612 7.343 6.949
angles: 104.91 105.08 89.96
Positions (direct):
Sm (0.572, 0.121, 0.910)
Pt (0.941, 0.825, 0.649)
Pt (0.937, 0.279, 0.640)
Sm (0.306, 0.983, 0.379)
Pr (0.566, 0.615, 0.900)
Pr (0.312, 0.489, 0.389)

## Properties
The space-group type is P-1, No. 2. The calculated density comes out at 9.41 Mg/m³. The distance to the lowest polymorph of the same formula comes out at 136.1 meV per atom. The formation energy is -681 meV/atom.

***

Number 1: uncorrected energy -5.722 eV/atom, DOS(E_F) 1.19 states/eV per atom. Number 2: uncorrected energy -5.703 eV/atom, DOS(E_F) 0.99 states/eV per atom. Number 3: uncorrected energy -5.997 eV/atom, DOS(E_F) 1.04 states/eV per atom. Number 4: uncorrected energy -6.551 eV/atom, DOS(E_F) 0.66 states/eV per atom. Number 5: uncorrected energy -5.416 eV/atom, DOS(E_F) 1.29 states/eV per atom. Number 6: uncorrected energy -6.651 eV/atom, DOS(E_F) 0.77 states/eV per atom. Number 7: uncorrected energy -5.602 eV/atom, DOS(E_F) 0.90 states/eV per atom. Number 8: uncorrected energy -6.294 eV/atom, DOS(E_F) 0.56 states/eV per atom. Number 9: uncorrected energy -5.673 eV/atom, DOS(E_F) 1.40 states/eV per atom. Number 10: uncorrected energy -6.450 eV/atom, DOS(E_F) 0.78 states/eV per atom. Number 11: uncorrected energy -6.381 eV/atom, DOS(E_F) 0.66 states/eV per atom. Number 12: uncorrected energy -5.541 eV/atom, DOS(E_F) 1.18 states/eV per atom. Number 13: uncorrected energy -6.623 eV/atom, DOS(E_F) 0.84 states/eV per atom. Number 14: uncorrected energy -6.387 eV/atom, DOS(E_F) 0.56 states/eV per atom. Number 15: uncorrected energy -5.894 eV/atom, DOS(E_F) 1.11 states/eV per atom. Number 16: uncorrected energy -5.597 eV/atom, DOS(E_F) 1.23 states/eV per atom. Number 17: uncorrected energy -6.192 eV/atom, DOS(E_F) 0.82 states/eV per atom. Number 18: uncorrected energy -6.443 eV/atom, DOS(E_F) 1.06 states/eV per atom. Number 19: uncorrected energy -6.120 eV/atom, DOS(E_F) 0.80 states/eV per atom. Number 20: uncorrected energy -5.861 eV/atom, DOS(E_F) 1.19 states/eV per atom.